The following is a DFT calculation (GGA-PBE) of a relaxed structure of Mg2Bi.

Summary:
**ΔE_f**: -0.15 eV per formula unit
**Fermi-level density of states**: 2.12 states/eV/f.u.
**Crystal system**: cubic

Cell: 5.0563 5.0602 5.0602 Å, 59.99 60.03 60.03°
Closest atoms and distances in Å follow each position.
Positions (direct):
Mg 0.7501 0.7499 0.7499  4 Bi 3.10
Mg 0.2499 0.2501 0.2501  4 Bi 3.10
Bi 0.0000 0.0000 0.0000  8 Mg 3.10